SmHoPd, optimized geometry, DFT PBE; volume = 26.26 A^3/atom; raw total energy = -97.560 eV/cell; total moment = 0.0 μB per formula unit; DFT formation energy = -590 meV per atom; space group = Pmma, No. 51; excess energy over the best structure of this formula in the dataset = 0.000 eV/atom
1.0
15.092 0.000 0.000
0.000 3.825 0.000
0.000 0.000 8.188
Sm Ho Pd
6 6 6
direct
0.056 0.000 0.200 Sm
0.250 0.000 0.874 Sm
0.444 0.000 0.200 Sm
0.556 0.000 0.800 Sm
0.750 0.000 0.126 Sm
0.944 0.000 0.800 Sm
0.110 0.500 0.579 Ho
0.250 0.500 0.240 Ho
0.390 0.500 0.579 Ho
0.610 0.500 0.421 Ho
0.750 0.500 0.760 Ho
0.890 0.500 0.421 Ho
0.095 0.500 0.930 Pd
0.250 0.000 0.503 Pd
0.405 0.500 0.930 Pd
0.595 0.500 0.070 Pd
0.750 0.000 0.497 Pd
0.905 0.500 0.070 Pd